DFT (PBE) results for Na2Ca2Zn after structural relaxation.

Geometry as CIF:
```
data_Na2Ca2Zn
_chemical_formula_sum 'Na4 Ca4 Zn2'
_symmetry_space_group_name_H-M 'I 4/m m m'
_symmetry_Int_Tables_number 139
_symmetry_space_group_name_Hall '-I 4 2'
_cell_length_a 3.7100
_cell_length_b 3.7100
_cell_length_c 23.8098
_cell_angle_alpha 90.00
_cell_angle_beta 90.00
_cell_angle_gamma 90.00
loop_
_atom_site_label
_atom_site_type_symbol
_atom_site_fract_x
_atom_site_fract_y
_atom_site_fract_z
_atom_site_occupancy
Na1 Na 0.0000 0.0000 0.1935 1
Ca1 Ca 0.0000 0.0000 0.4258 1
Zn1 Zn 0.0000 0.0000 0.0000 1
```

Results
The calculation puts the total energy at -16.73 eV for the cell shown. Its offset from the most stable computed form is 0.0 meV/atom. For the magnetic moment, the calculation gives 0.00 μB per cell.